CaNpFeO6 (GGA+U, optimized geometry); magnetization = 2.982 μB/f.u.; energy = -7.85 eV per atom; space group = P-31c; crystal system = trigonal
1.0
-4.7060 -1.5732 -2.0048
4.4354 -2.7951 -1.0748
-1.5918 -5.6752 8.1899
Np O Ca Fe
2 12 2 2
direct
0.3333 0.6667 0.2500
0.6667 0.3333 0.7500
0.6374 0.9975 0.3582
0.9975 0.6374 0.8582
0.9975 0.3601 0.6418
0.6399 0.6374 0.6418
0.0025 0.6399 0.3582
0.6374 0.6399 0.1418
0.6399 0.0025 0.8582
0.3626 0.0025 0.6418
0.3601 0.3626 0.3582
0.3601 0.9975 0.1418
0.3626 0.3601 0.8582
0.0025 0.3626 0.1418
0.0000 0.0000 0.0000
0.0000 0.0000 0.5000
0.3333 0.6667 0.7500
0.6667 0.3333 0.2500